A | # LiCSCl2 PBE-GGA relaxed
# magnetization = 0.62 μB per cell
data_LiCSCl2
_chemical_formula_sum 'Li1 C1 S1 Cl2'
_symmetry_space_group_name_H-M 'P 4/m m m'
_symmetry_Int_Tables_number 123
_symmetry_space_group_name_Hall '-P 4 2'
_cell_length_a 4.3802
_cell_length_b 4.3802
_cell_length_c 5.0227
_cell_angle_alpha 90.00
_cell_angle_beta 90.00
_cell_angle_gamma 90.00
loop_
_atom_site_label
_atom_site_type_symbol
_atom_site_fract_x
_atom_site_fract_y
_atom_site_fract_z
Li1 Li 0.0000 0.0000 0.0000
C1 C 0.5000 0.5000 0.5000
S1 S 0.0000 0.0000 0.5000
Cl1 Cl 0.0000 0.5000 0.0000

***

B | # LiCSCl2 PBE-GGA relaxed
# magnetization = 0.00 μB per cell
data_LiCSCl2
_chemical_formula_sum 'Li1 C1 S1 Cl2'
_symmetry_space_group_name_H-M 'P 4/m m m'
_symmetry_Int_Tables_number 123
_symmetry_space_group_name_Hall '-P 4 2'
_cell_length_a 5.1397
_cell_length_b 5.1397
_cell_length_c 3.6403
_cell_angle_alpha 90.00
_cell_angle_beta 90.00
_cell_angle_gamma 90.00
loop_
_atom_site_label
_atom_site_type_symbol
_atom_site_fract_x
_atom_site_fract_y
_atom_site_fract_z
Li1 Li 0.0000 0.0000 0.0000
C1 C 0.5000 0.5000 0.5000
S1 S 0.5000 0.5000 0.0000
Cl1 Cl 0.0000 0.5000 0.5000

***

We find B to be the most stable, with the next structure 954 meV/atom higher.